1.
# TbHo2Ag3Se6, relaxed, DFT PBE-GGA
data_TbHo2Ag3Se6
_chemical_formula_sum 'Tb2 Ho4 Ag6 Se12'
_cell_length_a 17.7100
_cell_length_b 4.1676
_cell_length_c 8.0596
_cell_angle_alpha 90.00
_cell_angle_beta 100.51
_cell_angle_gamma 90.00
_space_group_name_H-M_alt 'C 1 2/m 1'
_space_group_IT_number 12
loop_
_space_group_symop_operation_xyz
'x,y,z'
'-x,-y,-z'
'-x,y,-z'
'x,-y,z'
'x+1/2,y+1/2,z'
'-x+1/2,-y+1/2,-z'
'-x+1/2,y+1/2,-z'
'x+1/2,-y+1/2,z'
loop_
_atom_site_label
_atom_site_type_symbol
_atom_site_fract_x
_atom_site_fract_y
_atom_site_fract_z
_atom_site_occupancy
Tb1 Tb 0.0000 0.0000 0.0000 1
Ho1 Ho 0.1669 0.5000 0.3350 1
Ag1 Ag 0.0000 0.0000 0.5000 1
Ag2 Ag 0.1653 0.5000 0.8364 1
Se1 Se 0.0019 0.5000 0.2498 1
Se2 Se 0.1661 0.0000 0.0884 1
Se3 Se 0.1685 0.0000 0.5814 1
# formation energy (no corrections): -1164 meV per atom
# total magnetization: 0.0 μB per cell

2.
# BaLiSn2Rh, relaxed, DFT PBE-GGA
data_BaLiSn2Rh
_chemical_formula_sum 'Ba2 Li2 Sn4 Rh2'
_cell_length_a 4.7961
_cell_length_b 4.7961
_cell_length_c 11.0255
_cell_angle_alpha 90.00
_cell_angle_beta 90.00
_cell_angle_gamma 90.00
_space_group_name_H-M_alt 'I -4 m 2'
_space_group_IT_number 119
_space_group_name_Hall 'I -4 -2'
loop_
_atom_site_label
_atom_site_type_symbol
_atom_site_fract_x
_atom_site_fract_y
_atom_site_fract_z
_atom_site_occupancy
Ba1 Ba 0.0000 0.0000 0.0000 1
Li1 Li 0.0000 0.5000 0.7500 1
Sn1 Sn 0.0000 0.0000 0.3620 1
Rh1 Rh 0.0000 0.5000 0.2500 1
# polymorph energy (0 for the lowest one): 0.0 kJ/mol of atoms
# E_form: -0.49 eV/atom
# total magnetization: 0.0 μB per cell

3.
# KScIr2, relaxed, DFT PBE-GGA
data_KScIr2
_chemical_formula_sum 'K1 Sc1 Ir2'
_cell_length_a 3.1075
_cell_length_b 4.7350
_cell_length_c 4.8781
_cell_angle_alpha 90.00
_cell_angle_beta 90.00
_cell_angle_gamma 90.00
_space_group_name_H-M_alt 'P m m m'
_space_group_IT_number 47
loop_
_space_group_symop_operation_xyz
'x,y,z'
'-x,-y,-z'
'-x,-y,z'
'x,y,-z'
'x,-y,-z'
'-x,y,z'
'-x,y,-z'
'x,-y,z'
loop_
_atom_site_label
_atom_site_type_symbol
_atom_site_fract_x
_atom_site_fract_y
_atom_site_fract_z
_atom_site_occupancy
K1 K 0.0000 0.0000 0.0000 1
Sc1 Sc 0.5000 0.0000 0.5000 1
Ir1 Ir 0.0000 0.5000 0.5000 1
Ir2 Ir 0.5000 0.5000 0.0000 1
# polymorph energy (0 for the lowest one): 56.8 kJ/mol of atoms
# E_form: 0.56 eV/atom
# total magnetization: 0.0 μB per cell

4.
# Dy3Ge2Ru3C, relaxed, DFT PBE-GGA
data_Dy3Ge2Ru3C
_chemical_formula_sum 'Dy3 Ge2 Ru3 C1'
_cell_length_a 7.1011
_cell_length_b 7.1011
_cell_length_c 3.5496
_cell_angle_alpha 90.00
_cell_angle_beta 90.00
_cell_angle_gamma 120.00
_space_group_name_H-M_alt 'P -6 2 m'
_space_group_IT_number 189
_space_group_name_Hall 'P -6 -2'
loop_
_atom_site_label
_atom_site_type_symbol
_atom_site_fract_x
_atom_site_fract_y
_atom_site_fract_z
_atom_site_occupancy
Dy1 Dy 0.0000 0.6263 0.0000 1
Ge1 Ge 0.3333 0.6667 0.5000 1
Ru1 Ru 0.0000 0.2211 0.5000 1
C1 C 0.0000 0.0000 0.0000 1
# E_form: -0.40 eV/atom
# total magnetization: 0.0 μB per cell

| no. | electronic total energy (eV/atom) |
| --- | --- |
| 1 | -4.7680 |
| 2 | -4.3332 |
| 3 | -5.7309 |
| 4 | -7.0792 |